No. 1
Here is a relaxed NiBi2BrO4 crystal from Alexandria. Energies are from GGA+U.

Summary:
As for the calculated volume: 131 Å³/cell. The value obtained for the uncorrected energy is -4.82 eV per atom. The magnetic moment comes out at 3.0 μB per formula unit. As for the theoretical density: 7.847 g/cm³.

The structure in CIF format:
```
data_NiBi2BrO4
_chemical_formula_sum 'Ni1 Bi2 Br1 O4'
_space_group_name_H-M_alt 'P 4/m m m'
_space_group_IT_number 123
_space_group_name_Hall '-P 4 2'
_cell_length_a 3.774
_cell_length_b 3.774
_cell_length_c 9.221
_cell_angle_alpha 90.00
_cell_angle_beta 90.00
_cell_angle_gamma 90.00
loop_
_atom_site_label
_atom_site_type_symbol
_atom_site_fract_x
_atom_site_fract_y
_atom_site_fract_z
_atom_site_occupancy
Ni1 Ni 0.000 0.000 0.000 1
Bi1 Bi 0.500 0.500 0.259 1
Br1 Br 0.000 0.000 0.500 1
O1 O 0.000 0.500 0.133 1
```

=====

No. 2
Here is a relaxed Fe2C3O9 crystal from Alexandria. Energies are from GGA+U.

Summary:
As for the calculated volume: 1040 Å³/cell. The value obtained for the uncorrected energy is -7.29 eV per atom. The magnetic moment comes out at 10.0 μB per formula unit. As for the theoretical density: 2.795 g/cm³.

The structure in CIF format:
```
data_Fe2C3O9
_chemical_formula_sum 'Fe12 C18 O54'
_space_group_name_H-M_alt 'R 3'
_space_group_IT_number 146
_space_group_name_Hall 'R 3'
_cell_length_a 12.4456
_cell_length_b 12.4456
_cell_length_c 7.7512
_cell_angle_alpha 90.00
_cell_angle_beta 90.00
_cell_angle_gamma 120.00
loop_
_atom_site_label
_atom_site_type_symbol
_atom_site_fract_x
_atom_site_fract_y
_atom_site_fract_z
_atom_site_occupancy
Fe1 Fe 0.0000 0.0000 0.0000 1
Fe2 Fe 0.1250 0.7483 0.4610 1
C1 C 0.0507 0.1822 0.6691 1
C2 C 0.1368 0.6689 0.8158 1
O1 O 0.0159 0.7214 0.2378 1
O2 O 0.0571 0.9059 0.8034 1
O3 O 0.0652 0.9175 0.1682 1
O4 O 0.0983 0.8839 0.5300 1
O5 O 0.1527 0.4335 0.3401 1
O6 O 0.1838 0.7595 0.7049 1
```